[1]
Ca3LaB | GGA-PBEsol | relaxed

Unit cell a=5.3800 b=5.3800 c=5.3800 alpha=90.00 beta=90.00 gamma=90.00
Space group Pm-3m (No. 221)
Unique sites:
Ca 0.0000 0.0000 0.5000
La 0.5000 0.5000 0.5000
B 0.0000 0.0000 0.0000

Values from the calculation:
Uncorrected energy = -17.0 eV per cell

[2]
MoAsBr2 | GGA-PBEsol | relaxed

Unit cell a=3.0501 b=3.0501 c=9.1048 alpha=90.00 beta=90.00 gamma=90.00
Space group P4mm (No. 99)
Unique sites:
Mo 0.0000 0.0000 0.0000
As 0.5000 0.5000 0.1685
Br 0.0000 0.0000 0.4791
Br 0.5000 0.5000 0.8196

Values from the calculation:
Uncorrected formation energy = 0.058 eV/atom
ΔE to the lowest computed polymorph = 48.3 meV/atom

[3]
BaIn3F | GGA-PBEsol | relaxed

Unit cell a=5.1408 b=5.1408 c=5.1408 alpha=90.00 beta=90.00 gamma=90.00
Space group Pm-3m (No. 221)
Unique sites:
Ba 0.0000 0.0000 0.0000
In 0.0000 0.5000 0.5000
F 0.5000 0.5000 0.5000

Values from the calculation:
Uncorrected formation energy = -0.731 eV/atom

[4]
Fe2PbCl | GGA-PBEsol | relaxed

Unit cell a=3.7794 b=3.7794 c=9.6719 alpha=90.00 beta=90.00 gamma=90.00
Space group I-4m2 (No. 119)
Unique sites:
Fe 0.0000 0.0000 0.0000
Fe 0.0000 0.5000 0.2500
Pb 0.0000 0.0000 0.5000
Cl 0.0000 0.5000 0.7500

Values from the calculation:
Uncorrected formation energy = 0.720 eV/atom
ΔE to the lowest computed polymorph = 594.4 meV/atom

[5]
Ca3TaGe | GGA-PBEsol | relaxed

Unit cell a=5.5261 b=5.5261 c=5.5261 alpha=90.00 beta=90.00 gamma=90.00
Space group Pm-3m (No. 221)
Unique sites:
Ca 0.0000 0.0000 0.5000
Ta 0.5000 0.5000 0.5000
Ge 0.0000 0.0000 0.0000

Values from the calculation:
Uncorrected energy = -19.9 eV per cell

[6]
RbTeRuPt2 | GGA-PBEsol | relaxed

Unit cell a=4.9328 b=4.9328 c=6.0731 alpha=90.00 beta=90.00 gamma=90.00
Space group P4/mmm (No. 123)
Unique sites:
Rb 0.0000 0.0000 0.0000
Te 0.0000 0.0000 0.5000
Ru 0.5000 0.5000 0.0000
Pt 0.0000 0.5000 0.5000

Values from the calculation:
Uncorrected formation energy = 1.615 eV/atom

Respective V values: 155.7 84.7 135.9 138.2 168.8 147.8 Å³/cell.